{"formula": "BC", "functional": "PBE", "state": "relaxed", "spacegroup": "No. 156", "energy_ev_per_cell": -44.95, "ef_ev_per_atom": 0.458, "lattice_angstrom": [[-1.2658, -2.2056, 0.1060], [1.4260, 0.5524, -2.0346], [5.6409, -3.0877, 3.1151]], "species": ["B", "C", "C", "B", "C", "B"], "frac_coords": [[0.6667, 0.3333, 0.4027], [0.0000, 0.0000, 0.0164], [0.3333, 0.6667, 0.3025], [0.6667, 0.3333, 0.6399], [0.3333, 0.6667, 0.0927], [0.0000, 0.0000, 0.7958]]}